Density functional theory data (PBE-GGA) for crystalline LiRu2Au at its relaxed geometry.

Cell lengths 2.754, 3.785, 5.634 Å; angles 90.00, 90.24, 90.00 degrees
Positions (direct):
Li 0.000 0.000 0.000
Ru 0.001 0.000 0.529
Ru 0.502 0.500 0.717
Au 0.500 0.500 0.213

Output
Total magnetization   0.0000 μB/atom
Space group   No. 6
Energy of formation from the pure elements   55 meV per atom
Energy   -5.881 eV/atom


Density functional theory data (PBE-GGA) for crystalline LiRu2Au at its relaxed geometry.

Cell lengths 2.711, 4.305, 5.052 Å; angles 90.00, 90.00, 90.00 degrees
Positions (direct):
Li 0.000 0.000 0.000
Ru 0.500 0.500 0.229
Ru 0.500 0.500 0.771
Au 0.000 0.000 0.500

Output
Total magnetization   0.0001 μB/atom
Space group   No. 47
Energy of formation from the pure elements   307 meV per atom
Energy   -5.629 eV/atom


Density functional theory data (PBE-GGA) for crystalline LiRu2Au2 at its relaxed geometry.

Cell lengths 8.056, 8.056, 2.748 Å; angles 90.00, 90.00, 90.00 degrees
Positions (direct):
Li 0.000 0.000 0.000
Li 0.500 0.500 0.000
Ru 0.106 0.394 0.000
Ru 0.394 0.894 0.000
Ru 0.606 0.106 0.000
Ru 0.894 0.606 0.000
Au 0.191 0.691 0.500
Au 0.309 0.191 0.500
Au 0.691 0.809 0.500
Au 0.809 0.309 0.500

Output
Total magnetization   0.4382 μB/atom
Space group   No. 127
Energy of formation from the pure elements   346 meV per atom
Energy   -5.058 eV/atom